Record 1
Al2TcOs | GGA-PBE | optimized geometry

abc: 3.109 3.109 5.869
angles: 90.00 90.00 90.00
Space group P4mm (No. 99)
Unique sites:
1 Al 0.000 0.000 0.000 (multiplicity 1)
2 Al 0.500 0.500 0.262 (multiplicity 1)
3 Tc 0.500 0.500 0.774 (multiplicity 1)
4 Os 0.000 0.000 0.486 (multiplicity 1)

Energy relative to the lowest polymorph listed for this composition (meV/atom): 42
Density (g cm⁻³): 10.02
DFT formation energy (kJ per mole of atoms): -28.4
VASP energy (eV per atom): -7.564

---

Record 2
Na3In2Hg5 | GGA-PBE | optimized geometry

abc: 9.203 12.319 10.251
angles: 90.00 90.00 90.00
Space group Ibam (No. 72)
Unique sites:
1 Na 0.000 0.000 0.250 (multiplicity 4)
2 Na 0.216 0.382 0.000 (multiplicity 8)
3 In 0.064 0.134 0.000 (multiplicity 8)
4 Hg 0.000 0.250 0.250 (multiplicity 8)
5 Hg 0.000 0.500 0.250 (multiplicity 4)
6 Hg 0.123 0.369 0.500 (multiplicity 8)

Energy relative to the lowest polymorph listed for this composition (meV/atom): 72
Density (g cm⁻³): 7.44
DFT formation energy (kJ per mole of atoms): -8.4
VASP energy (eV per atom): -1.182

---

Question: Which formula does entry 2 have?
Answer: Na3In2Hg5

---

Question: What is the energy relative to the lowest polymorph listed for this composition in the second record?
Answer: 72 meV/atom